Here is a relaxed structure of Pr2Dy3Cd3 from the Alexandria database. Energies are from GGA-PBE.

The structure in POSCAR format:
```
Pr2Dy3Cd3
1.0
3.7609 0.0000 -0.6057
-0.2015 5.2034 -1.2513
-0.0346 0.0716 11.7641
Pr Dy Cd
2 3 3
Cartesian
0.8381 4.0399 5.2037
2.6867 1.2351 4.7034
1.3294 2.0365 8.2547
2.1953 3.2384 1.6524
1.8804 0.0000 -0.3028
3.1335 4.6756 7.4776
-0.1008 2.6017 -0.6256
0.3913 0.5994 2.4296
```

Summary:
- Space group: Immm (71)
- ΔE_f: -0.222 eV per atom

***

Here is a relaxed structure of AcP2Au from the Alexandria database. Energies are from GGA-PBE.

The structure in POSCAR format:
```
AcP2Au
1.0
4.4403 0.0000 -1.1674
0.0000 4.8265 0.0000
-0.1643 0.0000 8.3435
Ac P Au
2 4 2
Cartesian
1.5956 1.2066 6.0258
2.6805 3.6199 1.1503
0.0867 1.2066 0.3482
4.1893 3.6199 6.8278
1.0342 3.6199 3.9042
3.2418 1.2066 3.2719
3.5487 3.6199 4.4370
0.7273 1.2066 2.7391
```

Summary:
- Space group: P2_1/m (11)
- Polymorph energy (0 for the lowest one): 0.0000 eV/atom
- ΔE_f: -0.705 eV per atom

***

Here is a relaxed structure of AcNpAg2O6 from the Alexandria database. Energies are from GGA-PBE.

The structure in POSCAR format:
```
AcNpAg2O6
1.0
-0.3930 -5.8822 -0.7772
4.4265 -0.8283 4.0300
-5.8783 -0.2540 6.4044
Ac Np Ag O
2 2 4 12
Cartesian
-0.1965 -2.9411 -0.3886
-0.7259 -0.5411 5.2172
-3.1357 -3.0681 2.8136
2.2133 -0.4141 2.0150
2.4379 -6.7079 4.6941
-2.2134 -3.5366 6.5472
-4.2827 -0.2566 4.9631
0.3686 -3.4278 3.1100
2.4574 -2.2741 2.7509
0.1807 -5.5030 6.3465
-4.3022 -4.6903 6.9063
-2.0255 -1.4615 3.3107
0.4551 -2.7951 5.3607
-2.3272 -5.9293 8.4960
-2.2999 -4.1694 4.2965
0.4824 -1.0351 1.1612
0.8480 -5.7905 3.0278
-0.2853 -3.2775 8.0838
-2.6928 -1.1740 6.6294
-1.5595 -3.6870 1.5734
```

Summary:
- Uncorrected formation energy: -2.0189 eV per atom
- Space group: P2_1/c (14)

***

Here is a relaxed structure of Cd4GaAg3 from the Alexandria database. Energies are from GGA-PBE.

The structure in POSCAR format:
```
Cd4GaAg3
1.0
-0.2878 2.8676 1.0849
-2.8856 -0.6217 0.8776
5.6320 -5.0790 14.9197
Ag Ga Cd
3 1 4
Cartesian
-0.1477 -0.1747 4.7932
1.2293 -1.4165 8.4411
2.6064 -2.6584 12.0891
-1.5867 1.1230 0.9812
4.8842 -4.4046 12.9387
0.7478 -0.6744 1.9811
2.1290 -1.9200 5.6400
3.5030 -3.1590 9.2797
```

Summary:
- Space group: P4/mmm (123)
- Polymorph energy (0 for the lowest one): 0.0000 eV/atom
- ΔE_f: -0.015 eV per atom

***

no.,uncorrected energy (eV per cell)
1,-27.88
2,-42.05
3,-145.38
4,-15.36